{"formula": "P2Pd2Pb", "functional": "PBE", "state": "relaxed", "lattice": [[-2.2292, 2.2292, 4.8508], [2.2292, -2.2292, 4.8508], [2.2292, 2.2292, -4.8508]], "species": ["P", "P", "Pd", "Pd", "Pb"], "frac_coords": [[0.2500, 0.7500, 0.5000], [0.7500, 0.2500, 0.5000], [0.1475, 0.1475, 0.0000], [0.8525, 0.8525, 0.0000], [0.5000, 0.5000, 0.0000]], "rho_g_cm3": 8.3, "n_ef_per_ev_cell": 1.4, "dft_energy_ev_per_atom": -5.089, "formation_energy_ev_per_atom": -0.1064, "sg": "I4/mmm, No. 139"}